(1)
## La2GeI2 (PBE-GGA)

Data for a geometry-optimized La2GeI2 structure.

Values from the calculation:
Raw formation energy = -6.5 eV per formula unit
Total moment = 0.00 μB per cell
E = -4.81 eV per atom

```
La2GeI2
1.0
4.500 0.000 0.000
-2.250 3.897 0.000
0.000 0.000 11.517
La Ge I
2 1 2
Cartesian
0.000 2.598 4.073
2.250 1.299 7.443
0.000 0.000 5.758
0.000 2.598 9.496
2.250 1.299 2.021
```

(2)
## NaSc4Tl5 (PBE-GGA)

Data for a geometry-optimized NaSc4Tl5 structure.

Values from the calculation:
DFT formation energy = -213 kJ/mol of formula units
Total moment = 0.00 μB per cell
E = -4.07 eV per atom

```
NaSc4Tl5
1.0
3.628 0.000 0.000
0.000 3.628 0.000
0.000 0.000 18.403
Na Sc Tl
1 4 5
Cartesian
0.000 0.000 0.000
0.000 0.000 3.793
0.000 0.000 7.405
0.000 0.000 10.997
0.000 0.000 14.610
1.814 1.814 2.077
1.814 1.814 5.627
1.814 1.814 9.201
1.814 1.814 12.776
1.814 1.814 16.326
```

(3)
## RbSr2SnP (PBE-GGA)

Data for a geometry-optimized RbSr2SnP structure.

Values from the calculation:
DFT formation energy = 549 kJ/mol of formula units
Total moment = 0.00 μB per cell
E = -1.61 eV per atom

```
RbSr2SnP
1.0
6.390 0.000 0.000
0.000 6.390 0.000
0.000 0.000 5.687
Rb Sr Sn P
1 2 1 1
Cartesian
0.000 0.000 0.000
0.000 3.195 0.000
3.195 0.000 0.000
0.000 0.000 2.844
3.195 3.195 2.844
```

(4)
## Na2PtO4 (PBE-GGA)

Data for a geometry-optimized Na2PtO4 structure.

Values from the calculation:
Raw formation energy = -5.0 eV per formula unit
Total moment = 2.62 μB per cell
E = -4.78 eV per atom
Offset from the most stable computed form = 0.184 eV per atom

```
Na2PtO4
1.0
-2.024 2.024 5.863
2.024 -2.024 5.863
2.024 2.024 -5.863
Na Pt O
2 1 4
Cartesian
0.000 0.000 1.661
0.000 0.000 10.064
0.000 0.000 5.863
2.024 0.000 0.000
0.000 0.000 3.965
0.000 2.024 0.000
0.000 0.000 7.760
```

(5)
## Ac3NiGe3 (PBE-GGA)

Data for a geometry-optimized Ac3NiGe3 structure.

Values from the calculation:
DFT formation energy = -270 kJ/mol of formula units
Total moment = 0.00 μB per cell
E = -4.96 eV per atom
Offset from the most stable computed form = 0.282 eV per atom

```
Ac3NiGe3
1.0
9.092 0.000 0.000
-4.546 7.874 0.000
0.000 0.000 6.354
Ac Ni Ge
6 2 6
Cartesian
-0.914 2.893 1.588
-1.584 7.219 1.588
2.048 2.238 4.765
2.498 5.636 1.588
6.130 0.655 4.765
5.460 4.981 4.765
0.000 5.249 4.765
4.546 2.625 1.588
-0.995 3.178 4.765
-1.296 7.147 4.765
2.254 2.451 1.588
2.292 5.423 4.765
5.842 0.727 1.588
5.541 4.696 1.588
```

(6)
## Pr3Dy2Ho2 (PBE-GGA)

Data for a geometry-optimized Pr3Dy2Ho2 structure.

Values from the calculation:
DFT formation energy = 27 kJ/mol of formula units
Total moment = 0.00 μB per cell
E = -4.63 eV per atom
Offset from the most stable computed form = 0.000 eV per atom

```
Pr3Dy2Ho2
1.0
3.568 0.000 0.000
1.782 8.449 0.000
0.004 4.217 7.751
Pr Dy Ho
3 2 2
Cartesian
0.000 0.000 0.000
1.785 6.481 5.517
3.569 6.185 2.234
1.786 9.079 3.345
3.568 3.588 4.406
1.785 3.037 1.306
3.569 9.629 6.445
```

(7)
## CoTeRh2 (PBE-GGA)

Data for a geometry-optimized CoTeRh2 structure.

Values from the calculation:
Raw formation energy = 0.7 eV per formula unit
Total moment = 2.39 μB per cell
E = -6.07 eV per atom

```
CoTeRh2
1.0
3.036 0.000 0.000
0.000 4.048 0.000
-1.509 0.000 5.068
Co Te Rh
1 1 2
Cartesian
0.000 0.000 0.000
1.518 2.024 3.568
0.000 0.000 2.542
1.516 2.024 0.943
```

(8)
## Mg5Ga (PBE-GGA)

Data for a geometry-optimized Mg5Ga structure.

Values from the calculation:
DFT formation energy = -19 kJ/mol of formula units
Total moment = 0.00 μB per cell
E = -1.87 eV per atom
Offset from the most stable computed form = 0.021 eV per atom

```
Mg5Ga
1.0
2.624 -4.889 0.000
2.624 4.889 0.000
-1.461 0.000 5.058
Mg Ga
5 1
Cartesian
0.000 0.000 0.000
1.894 3.289 2.529
2.624 1.601 0.000
2.624 -1.601 0.000
1.894 -3.289 2.529
1.894 0.000 2.529
```

(9)
## KFe4Ni (PBE-GGA)

Data for a geometry-optimized KFe4Ni structure.

Values from the calculation:
DFT formation energy = 471 kJ/mol of formula units
Total moment = 11.73 μB per cell
E = -5.97 eV per atom

```
KFe4Ni
1.0
0.000 3.575 3.575
3.575 0.000 3.575
3.575 3.575 0.000
K Fe Ni
1 4 1
Cartesian
0.000 0.000 0.000
2.689 2.689 2.689
4.461 4.461 2.689
4.461 2.689 4.461
2.689 4.461 4.461
5.363 5.363 5.363
```

(10)
## Li5Co (PBE-GGA)

Data for a geometry-optimized Li5Co structure.

Values from the calculation:
DFT formation energy = 112 kJ/mol of formula units
Total moment = 1.06 μB per cell
E = -2.59 eV per atom

```
Li5Co
1.0
2.387 -7.246 0.000
2.387 7.246 0.000
0.000 0.000 2.694
Li Co
5 1
Cartesian
0.000 0.000 0.000
2.387 4.755 1.347
2.387 2.148 0.000
2.387 -2.148 0.000
2.387 -4.755 1.347
2.387 0.000 1.347
```

(11)
## Np2Ga2TcGe4 (PBE-GGA)

Data for a geometry-optimized Np2Ga2TcGe4 structure.

Values from the calculation:
DFT formation energy = -152 kJ/mol of formula units
Total moment = 8.14 μB per cell
E = -6.93 eV per atom

```
Np2Ga2TcGe4
1.0
-3.123 3.123 4.345
3.123 -3.123 4.345
3.123 3.123 -4.345
Np Ga Tc Ge
2 2 1 4
Cartesian
3.123 0.000 2.173
0.000 3.123 2.173
0.000 0.000 1.860
0.000 0.000 6.830
0.000 0.000 4.345
1.377 1.377 0.000
1.746 -1.746 4.345
-1.746 1.746 4.345
1.746 1.746 4.345
```

(12)
## VHg3B (PBE-GGA)

Data for a geometry-optimized VHg3B structure.

Values from the calculation:
DFT formation energy = 727 kJ/mol of formula units
Total moment = 3.29 μB per cell
E = -1.83 eV per atom
Offset from the most stable computed form = 0.575 eV per atom

```
VHg3B
1.0
5.332 0.000 0.000
0.000 5.332 0.000
0.000 0.000 5.332
V Hg B
1 3 1
Cartesian
0.000 0.000 0.000
0.000 0.000 2.666
0.000 2.666 0.000
2.666 0.000 0.000
2.666 2.666 2.666
```

(13)
## Tb7Pm3Dy2 (PBE-GGA)

Data for a geometry-optimized Tb7Pm3Dy2 structure.

Values from the calculation:
DFT formation energy = 98 kJ/mol of formula units
Total moment = 0.00 μB per cell
E = -4.57 eV per atom
Offset from the most stable computed form = 0.005 eV per atom

```
Tb7Pm3Dy2
1.0
5.849 0.000 0.000
0.000 3.577 0.000
-1.032 0.000 18.811
Tb Pm Dy
7 3 2
Cartesian
0.000 0.000 0.000
0.931 1.789 3.323
0.949 1.789 10.102
0.941 0.000 16.101
3.876 0.000 2.710
3.868 1.789 8.710
3.886 1.789 15.488
0.912 0.000 6.900
2.925 1.789 0.000
3.905 0.000 11.912
0.967 1.789 13.287
3.850 1.789 5.524
```